(A)
Entry from the Open Quantum Materials Database: crystalline LiLuNbIr at its relaxed geometry (PBE).

a = 4.5617 Å, b = 4.5617 Å, c = 4.5617 Å
α = 60.00°, β = 60.00°, γ = 60.00°
Element x y z (fractional)
Ir: 0.5000 0.5000 0.5000
Nb: 0.2500 0.2500 0.2500
Li: 0.7500 0.7500 0.7500
Lu: 0.0000 0.0000 0.0000

Magnetization = 0.00 μB/f.u.
Theoretical density = 11.55 g cm⁻³
V = 16.78 A^3/atom



(B)
Entry from the Open Quantum Materials Database: crystalline LiLuNbIr at its relaxed geometry (PBE).

a = 4.6286 Å, b = 4.6286 Å, c = 4.6286 Å
α = 60.00°, β = 60.00°, γ = 60.00°
Element x y z (fractional)
Li: 0.7500 0.7500 0.7500
Lu: 0.0000 0.0000 0.0000
Ir: 0.2500 0.2500 0.2500
Nb: 0.5000 0.5000 0.5000

Magnetization = 0.00 μB/f.u.
Theoretical density = 11.06 g cm⁻³
V = 17.53 A^3/atom



Stability ranking, top and bottom: (B) is the most stable and (A) is the least stable.



(A)
Entry from the Open Quantum Materials Database: crystalline LiLuTaIr at its relaxed geometry (PBE).

a = 4.6187 Å, b = 4.6187 Å, c = 4.6187 Å
α = 60.00°, β = 60.00°, γ = 60.00°
Element x y z (fractional)
Lu: 0.5000 0.5000 0.5000
Ta: 0.0000 0.0000 0.0000
Li: 0.7500 0.7500 0.7500
Ir: 0.2500 0.2500 0.2500

Magnetization = 0.00 μB/f.u.
Theoretical density = 13.23 g cm⁻³
V = 17.42 A^3/atom



(B)
Entry from the Open Quantum Materials Database: crystalline LiLuTaIr at its relaxed geometry (PBE).

a = 4.5594 Å, b = 4.5594 Å, c = 4.5594 Å
α = 60.00°, β = 60.00°, γ = 60.00°
Element x y z (fractional)
Ir: 0.0000 0.0000 0.0000
Lu: 0.5000 0.5000 0.5000
Li: 0.7500 0.7500 0.7500
Ta: 0.2500 0.2500 0.2500

Magnetization = 0.00 μB/f.u.
Theoretical density = 13.75 g cm⁻³
V = 16.75 A^3/atom



Stability ranking, top and bottom: (A) is the most stable and (B) is the least stable.



(A)
Entry from the Open Quantum Materials Database: crystalline LiIrNO at its relaxed geometry (PBE).

a = 2.9322 Å, b = 5.4567 Å, c = 5.6547 Å
α = 90.00°, β = 90.00°, γ = 90.00°
Element x y z (fractional)
O: 0.5000 0.3491 0.1351
Ir: 0.0000 0.0397 0.6814
O: 0.5000 0.8491 0.8649
Li: 0.5000 0.0012 0.1694
N: 0.0000 0.3640 0.6114
Li: 0.5000 0.5012 0.8306
Ir: 0.0000 0.5397 0.3186
N: 0.0000 0.8640 0.3886

Magnetization = 0.00 μB/f.u.
Theoretical density = 8.41 g cm⁻³
V = 11.31 A^3/atom



(B)
Entry from the Open Quantum Materials Database: crystalline LiIrNO at its relaxed geometry (PBE).

a = 3.2101 Å, b = 3.2101 Å, c = 7.3029 Å
α = 90.00°, β = 90.00°, γ = 90.00°
Element x y z (fractional)
Ir: 0.0000 0.0000 0.1855
O: 0.0000 0.5000 0.0000
N: 0.0000 0.0000 0.6827
N: 0.5000 0.5000 0.3173
O: 0.5000 0.0000 0.0000
Ir: 0.5000 0.5000 0.8145
Li: 0.5000 0.0000 0.5000
Li: 0.0000 0.5000 0.5000

Magnetization = 0.06 μB/f.u.
Theoretical density = 10.11 g cm⁻³
V = 9.41 A^3/atom



Stability ranking, top and bottom: (A) is the most stable and (B) is the least stable.